No. 1
Density functional theory data (PBE-GGA) for an optimized crystal structure of YSi2Mo.

Lattice parameters (Å, degrees): 5.9362 7.5250 3.2763 90.00 103.90 90.00
Space group C2/m (No. 12)
Asymmetric unit:
Y  0.0000  0.0000  0.0000 x2
Si  0.2500  0.2500  0.5000 x4
Mo  0.0000  0.5000  0.0000 x2

ΔE to the lowest computed polymorph	440	meV/atom
total magnetic moment	0.00	μB/cell
ΔE_f (raw)	-0.041	eV/atom

No. 2
Density functional theory data (PBE-GGA) for an optimized crystal structure of YSi2Mo.

Lattice parameters (Å, degrees): 3.9534 3.9534 9.0198 90.00 90.00 90.00
Space group I-4m2 (No. 119)
Asymmetric unit:
Y  0.0000  0.0000  0.0000 x2
Si  0.0000  0.0000  0.5000 x2
Si  0.0000  0.5000  0.2500 x2
Mo  0.0000  0.5000  0.7500 x2

ΔE to the lowest computed polymorph	496	meV/atom
total magnetic moment	1.14	μB/cell
ΔE_f (raw)	0.015	eV/atom

No. 3
Density functional theory data (PBE-GGA) for an optimized crystal structure of YSi2Mo.

Lattice parameters (Å, degrees): 8.2333 3.5006 6.2880 90.00 120.73 90.00
Space group Cm (No. 8)
Asymmetric unit:
Y  0.0000  0.0000  0.0000 x2
Si  0.1434  0.0000  0.6240 x2
Si  0.4310  0.0000  0.3172 x2
Mo  0.2825  0.5000  0.4506 x2

ΔE to the lowest computed polymorph	180	meV/atom
total magnetic moment	0.00	μB/cell
ΔE_f (raw)	-0.301	eV/atom

No. 4
Density functional theory data (PBE-GGA) for an optimized crystal structure of Y2SiMo.

Lattice parameters (Å, degrees): 3.4227 3.4227 7.8204 90.00 90.00 90.00
Space group P4mm (No. 99)
Asymmetric unit:
Y  0.0000  0.0000  0.0000 x1
Y  0.5000  0.5000  0.3873 x1
Si  0.5000  0.5000  0.7637 x1
Mo  0.0000  0.0000  0.6440 x1

total magnetic moment	0.00	μB/cell
ΔE_f (raw)	-0.184	eV/atom